Entry from the Alexandria database: YHOs3 after structural relaxation (PBE).

a b c (Å): 4.1036 4.1036 4.1036
angles (deg): 90.00 90.00 90.00
Sites, in units of the cell vectors:
Os 0.5000 0.0000 0.0000
Os 0.0000 0.5000 0.0000
Y 0.5000 0.5000 0.5000
Os 0.0000 0.0000 0.5000
H 0.0000 0.0000 0.0000

Values from the calculation:
Space group ... Pm-3m (221)
Total energy ... -8.35 eV per atom

***

Entry from the Alexandria database: PmY2Ga2Cu2 after structural relaxation (PBE).

a b c (Å): 4.4038 4.4038 9.6720
angles (deg): 76.84 76.84 60.00
Sites, in units of the cell vectors:
Ga 0.2615 0.2615 0.2155
Cu 0.4013 0.4013 0.7961
Y 0.1244 0.1244 0.6269
Cu 0.5987 0.5987 0.2039
Y 0.8756 0.8756 0.3731
Pm 0.0000 0.0000 0.0000
Ga 0.7385 0.7385 0.7845

Values from the calculation:
Space group ... R-3m (166)
Total energy ... -4.96 eV per atom

***

Entry from the Alexandria database: In2ReSi after structural relaxation (PBE).

a b c (Å): 4.7106 4.7106 4.7106
angles (deg): 60.00 60.00 60.00
Sites, in units of the cell vectors:
In 0.0000 0.0000 0.0000
In 0.2500 0.2500 0.2500
Re 0.5000 0.5000 0.5000
Si 0.7500 0.7500 0.7500

Values from the calculation:
Formation energy from raw total energies ... 813 meV/atom
Space group ... F-43m (216)

***

Entry from the Alexandria database: Hg3PbO after structural relaxation (PBE).

a b c (Å): 5.8260 5.8260 5.8260
angles (deg): 90.00 90.00 90.00
Sites, in units of the cell vectors:
O 0.5000 0.5000 0.5000
Hg 0.0000 0.0000 0.5000
Hg 0.5000 0.0000 0.0000
Pb 0.0000 0.0000 0.0000
Hg 0.0000 0.5000 0.0000

Values from the calculation:
Formation energy from raw total energies ... 710 meV/atom
Space group ... Pm-3m (221)

***

Entry from the Alexandria database: NiPW after structural relaxation (PBE).

a b c (Å): 2.8044 2.8044 5.8755
angles (deg): 90.00 90.00 120.00
Sites, in units of the cell vectors:
Ni 0.0000 0.0000 0.0254
P 0.3333 0.6667 0.3157
W 0.6667 0.3333 0.6589

Values from the calculation:
Space group ... P3m1 (156)
Total energy ... -7.96 eV per atom

***

Entry from the Alexandria database: Na6Lu after structural relaxation (PBE).

a b c (Å): 7.2082 7.2082 7.2082
angles (deg): 109.47 109.47 109.47
Sites, in units of the cell vectors:
Na 0.7500 0.2500 0.5000
Na 0.7500 0.5000 0.2500
Na 0.2500 0.7500 0.5000
Na 0.2500 0.5000 0.7500
Na 0.5000 0.7500 0.2500
Na 0.5000 0.2500 0.7500
Lu 0.0000 0.0000 0.0000

Values from the calculation:
Space group ... Im-3m (229)
Total energy ... -1.19 eV per atom

***

Entry from the Alexandria database: MgSc3Tl2 after structural relaxation (PBE).

a b c (Å): 3.6004 3.6004 10.6618
angles (deg): 90.00 90.00 90.00
Sites, in units of the cell vectors:
Sc 0.0000 0.0000 0.3395
Sc 0.0000 0.0000 0.0000
Tl 0.5000 0.5000 0.1757
Sc 0.0000 0.0000 0.6605
Mg 0.5000 0.5000 0.5000
Tl 0.5000 0.5000 0.8243

Values from the calculation:
Space group ... P4/mmm (123)
Total energy ... -4.43 eV per atom

***

Entry from the Alexandria database: Ac6CdRu2I3 after structural relaxation (PBE).

a b c (Å): 7.7615 7.7615 9.0735
angles (deg): 98.20 98.20 119.98
Sites, in units of the cell vectors:
I 0.1631 0.8369 0.5000
I 0.5000 0.5000 0.5000
Ac 0.9363 0.5678 0.8098
Cd 0.0000 0.0000 0.0000
Ru 0.6668 0.3332 0.0000
Ac 0.0637 0.4322 0.1902
Ru 0.3332 0.6668 0.0000
Ac 0.5678 0.9363 0.8098
I 0.8369 0.1631 0.5000
Ac 0.6949 0.6949 0.1891
Ac 0.3051 0.3051 0.8109
Ac 0.4322 0.0637 0.1902

Values from the calculation:
Formation energy from raw total energies ... -710 meV/atom
Space group ... C2/m (12)

***

Entry from the Alexandria database: Th4Tl2Cd5 after structural relaxation (PBE).

a b c (Å): 3.3515 8.2858 10.8641
angles (deg): 94.47 90.00 90.00
Sites, in units of the cell vectors:
Cd 0.0000 0.7872 0.8339
Th 0.5000 0.2926 0.4449
Cd 0.0000 0.5648 0.2849
Th 0.5000 0.8448 0.1053
Th 0.5000 0.7074 0.5551
Tl 0.0000 0.0562 0.6391
Cd 0.0000 0.5000 0.0000
Cd 0.0000 0.2128 0.1661
Cd 0.0000 0.4352 0.7151
Th 0.5000 0.1552 0.8947
Tl 0.0000 0.9438 0.3609

Values from the calculation:
Space group ... P2/m (10)
Total energy ... -3.61 eV per atom

***

Entry from the Alexandria database: Li2HfV2 after structural relaxation (PBE).

a b c (Å): 7.5202 7.5202 2.8283
angles (deg): 90.00 90.00 90.00
Sites, in units of the cell vectors:
Hf 0.5000 0.5000 0.0000
V 0.5925 0.0925 0.0000
V 0.4075 0.9075 0.0000
V 0.0925 0.4075 0.0000
Li 0.2003 0.7003 0.5000
V 0.9075 0.5925 0.0000
Li 0.7997 0.2997 0.5000
Li 0.7003 0.7997 0.5000
Hf 0.0000 0.0000 0.0000
Li 0.2997 0.2003 0.5000

Values from the calculation:
Space group ... P4/mbm (127)
Total energy ... -5.83 eV per atom

***

Entry from the Alexandria database: MnZn2Re after structural relaxation (PBE).

a b c (Å): 5.1490 5.1490 5.1490
angles (deg): 147.78 129.83 60.88
Sites, in units of the cell vectors:
Zn 0.9924 0.9924 0.0000
Re 0.2500 0.7500 0.5000
Zn 0.5076 0.5076 0.0000
Mn 0.7500 0.2500 0.5000

Values from the calculation:
Space group ... Immm (71)
Total energy ... -5.83 eV per atom

***

Entry from the Alexandria database: Tm2Zn3Ag after structural relaxation (PBE).

a b c (Å): 5.6501 5.6501 8.5544
angles (deg): 103.91 103.91 105.80
Sites, in units of the cell vectors:
Zn 0.1642 0.6726 0.8369
Tm 0.2500 0.7500 0.5000
Tm 0.2521 0.2521 0.0000
Zn 0.6726 0.1642 0.8369
Zn 0.8367 0.8367 0.6733
Zn 0.1633 0.1633 0.3267
Tm 0.7479 0.7479 0.0000
Tm 0.7500 0.2500 0.5000
Ag 0.6672 0.6672 0.3344
Zn 0.8358 0.3274 0.1631
Ag 0.3328 0.3328 0.6656
Zn 0.3274 0.8358 0.1631

Values from the calculation:
Space group ... Fmmm (69)
Total energy ... -2.95 eV per atom

***

What is the formula in the fifth record?
NiPW